(1)
The following is a PBE calculation of NaCoAs2Ru after structural relaxation, from Alexandria via LeMat-Bulk.

- Calculated volume: 92.7 Å³/f.u.
- ρ: 5.96 g cm⁻³
- Energy above the lowest structure with this stoichiometry: 0.0000 eV/atom
- Energy of formation: -0.36 eV/atom
- DOS at the Fermi energy: 2.17 states/eV/f.u.

Cell: 3.950 3.950 11.889 Å, 90.00 90.00 90.00°
Fractional coordinates of all 10 atoms:
Na: 0.000 0.000 0.000
Na: 0.500 0.500 0.500
Co: 0.000 0.500 0.750
Co: 0.500 0.000 0.250
As: 0.000 0.000 0.362
As: 0.000 0.000 0.638
As: 0.500 0.500 0.138
As: 0.500 0.500 0.862
Ru: 0.000 0.500 0.250
Ru: 0.500 0.000 0.750

***

(2)
The following is a PBE calculation of PmHoEr2Tl2 after structural relaxation, from Alexandria via LeMat-Bulk.

- Calculated volume: 173.6 Å³/f.u.
- ρ: 10.07 g cm⁻³
- Energy of formation: -0.26 eV/atom
- DOS at the Fermi energy: 5.87 states/eV/f.u.

Cell: 5.111 9.984 6.806 Å, 90.00 90.00 90.00°
Fractional coordinates of all 12 atoms:
Pm: 0.000 0.042 0.000
Pm: 0.000 0.958 0.500
Ho: 0.500 0.192 0.721
Ho: 0.500 0.808 0.221
Er: 0.000 0.318 0.376
Er: 0.000 0.682 0.876
Er: 0.500 0.457 0.091
Er: 0.500 0.543 0.591
Tl: 0.000 0.368 0.837
Tl: 0.000 0.632 0.337
Tl: 0.500 0.138 0.260
Tl: 0.500 0.862 0.760

***

(3)
The following is a PBE calculation of BaHoNbN3 after structural relaxation, from Alexandria via LeMat-Bulk.

- Uncorrected formation energy: -0.949 eV per atom
- Calculated volume: 103.0 Å³/f.u.
- ρ: 7.05 g cm⁻³

Cell: 7.125 7.125 7.737 Å, 104.34 104.34 32.89°
Fractional coordinates of all 12 atoms:
Ba: 0.149 0.149 0.080
Ba: 0.851 0.851 0.920
Ho: 0.158 0.158 0.574
Ho: 0.842 0.842 0.426
Nb: 0.498 0.498 0.695
Nb: 0.502 0.502 0.305
N: 0.007 0.007 0.329
N: 0.336 0.336 0.645
N: 0.351 0.351 0.211
N: 0.649 0.649 0.789
N: 0.664 0.664 0.355
N: 0.993 0.993 0.671

***

(4)
The following is a PBE calculation of NdGdCuPd after structural relaxation, from Alexandria via LeMat-Bulk.

- Calculated volume: 91.2 Å³/f.u.
- ρ: 8.59 g cm⁻³
- Energy of formation: -0.48 eV/atom
- DOS at the Fermi energy: 2.49 states/eV/f.u.

Cell: 7.144 7.144 7.144 Å, 90.00 90.00 90.00°
Fractional coordinates of all 16 atoms:
Nd: 0.000 0.000 0.000
Nd: 0.000 0.500 0.500
Nd: 0.500 0.000 0.500
Nd: 0.500 0.500 0.000
Gd: 0.000 0.000 0.500
Gd: 0.000 0.500 0.000
Gd: 0.500 0.000 0.000
Gd: 0.500 0.500 0.500
Cu: 0.250 0.250 0.250
Cu: 0.250 0.750 0.750
Cu: 0.750 0.250 0.750
Cu: 0.750 0.750 0.250
Pd: 0.250 0.250 0.750
Pd: 0.250 0.750 0.250
Pd: 0.750 0.250 0.250
Pd: 0.750 0.750 0.750

***

(5)
The following is a PBE calculation of Rb2Pm2PaTe6 after structural relaxation, from Alexandria via LeMat-Bulk.

- Uncorrected formation energy: -1.251 eV per atom
- Calculated volume: 467.4 Å³/f.u.
- ρ: 5.18 g cm⁻³
- DOS at the Fermi energy: 2.44 states/eV/f.u.

Cell: 7.828 7.828 9.184 Å, 98.36 98.36 119.80°
Fractional coordinates of all 11 atoms:
Rb: 0.169 0.831 0.000
Rb: 0.831 0.169 0.000
Pm: 0.333 0.667 0.500
Pm: 0.667 0.333 0.500
Pa: 0.000 0.000 0.500
Te: 0.070 0.394 0.701
Te: 0.258 0.258 0.301
Te: 0.394 0.070 0.701
Te: 0.606 0.930 0.299
Te: 0.742 0.742 0.699
Te: 0.930 0.606 0.299

***

(6)
The following is a PBE calculation of NaCuPCl2 after structural relaxation, from Alexandria via LeMat-Bulk.

- Uncorrected formation energy: -0.281 eV per atom
- Calculated volume: 115.8 Å³/f.u.
- ρ: 2.70 g cm⁻³
- Energy above the lowest structure with this stoichiometry: 0.0000 eV/atom
- DOS at the Fermi energy: 2.29 states/eV/f.u.

Cell: 5.104 5.104 4.447 Å, 90.00 90.00 90.00°
Fractional coordinates of all 5 atoms:
Na: 0.000 0.000 0.000
Cu: 0.500 0.500 0.500
P: 0.500 0.500 0.000
Cl: 0.000 0.500 0.500
Cl: 0.500 0.000 0.500

***

(7)
The following is a PBE calculation of NaCe3Ho2Te6 after structural relaxation, from Alexandria via LeMat-Bulk.

- Uncorrected formation energy: -1.304 eV per atom
- Calculated volume: 372.6 Å³/f.u.
- ρ: 6.86 g cm⁻³
- DOS at the Fermi energy: 22.76 states/eV/f.u.

Cell: 9.958 9.958 8.948 Å, 103.31 103.31 25.60°
Fractional coordinates of all 12 atoms:
Na: 0.000 0.000 0.000
Ce: 0.000 0.000 0.500
Ce: 0.336 0.336 0.168
Ce: 0.664 0.664 0.832
Ho: 0.332 0.332 0.661
Ho: 0.668 0.668 0.339
Te: 0.166 0.166 0.094
Te: 0.169 0.169 0.578
Te: 0.495 0.495 0.752
Te: 0.505 0.505 0.248
Te: 0.831 0.831 0.422
Te: 0.834 0.834 0.906

***

(8)
The following is a PBE calculation of K2TiIn2 after structural relaxation, from Alexandria via LeMat-Bulk.

- Calculated volume: 175.5 Å³/f.u.
- ρ: 3.37 g cm⁻³
- Energy above the lowest structure with this stoichiometry: 0.0000 eV/atom
- Energy of formation: 0.34 eV/atom
- DOS at the Fermi energy: 5.47 states/eV/f.u.

Cell: 7.555 7.555 6.151 Å, 90.00 90.00 90.00°
Fractional coordinates of all 10 atoms:
K: 0.175 0.325 0.000
K: 0.325 0.825 0.000
K: 0.675 0.175 0.000
K: 0.825 0.675 0.000
Ti: 0.000 0.000 0.500
Ti: 0.500 0.500 0.500
In: 0.148 0.648 0.500
In: 0.352 0.148 0.500
In: 0.648 0.852 0.500
In: 0.852 0.352 0.500

***

(9)
The following is a PBE calculation of Er6AgRh3 after structural relaxation, from Alexandria via LeMat-Bulk.

- Calculated volume: 248.0 Å³/f.u.
- ρ: 9.51 g cm⁻³
- Energy of formation: -0.57 eV/atom
- DOS at the Fermi energy: 6.18 states/eV/f.u.

Cell: 8.914 8.914 6.595 Å, 90.00 90.00 108.85°
Fractional coordinates of all 20 atoms:
Er: 0.030 0.970 0.500
Er: 0.114 0.520 0.050
Er: 0.256 0.744 0.615
Er: 0.277 0.349 0.605
Er: 0.349 0.277 0.105
Er: 0.480 0.886 0.050
Er: 0.520 0.114 0.550
Er: 0.651 0.723 0.605
Er: 0.723 0.651 0.105
Er: 0.744 0.256 0.115
Er: 0.886 0.480 0.550
Er: 0.970 0.030 0.000
Ag: 0.160 0.840 0.178
Ag: 0.840 0.160 0.678
Rh: 0.034 0.266 0.310
Rh: 0.266 0.034 0.810
Rh: 0.412 0.588 0.881
Rh: 0.588 0.412 0.381
Rh: 0.734 0.966 0.310
Rh: 0.966 0.734 0.810

***

(10)
The following is a PBE calculation of K2LaPrS4 after structural relaxation, from Alexandria via LeMat-Bulk.

- Uncorrected formation energy: -1.882 eV per atom
- Calculated volume: 232.5 Å³/f.u.
- ρ: 3.47 g cm⁻³
- DOS at the Fermi energy: 0.00 states/eV/f.u.

Cell: 7.384 4.262 7.784 Å, 90.00 108.42 90.00°
Fractional coordinates of all 8 atoms:
K: 0.000 0.000 0.000
K: 0.500 0.500 0.000
La: 0.000 0.500 0.500
Pr: 0.500 0.000 0.500
S: 0.238 0.000 0.708
S: 0.266 0.500 0.292
S: 0.734 0.500 0.708
S: 0.762 0.000 0.292

***

(11)
The following is a PBE calculation of Lu5Sb after structural relaxation, from Alexandria via LeMat-Bulk.

- Uncorrected formation energy: -0.278 eV per atom
- Calculated volume: 163.9 Å³/f.u.
- ρ: 10.10 g cm⁻³
- DOS at the Fermi energy: 6.97 states/eV/f.u.

Cell: 4.710 14.532 4.788 Å, 90.00 90.00 90.00°
Fractional coordinates of all 12 atoms:
Lu: 0.000 0.000 0.000
Lu: 0.000 0.162 0.500
Lu: 0.000 0.329 0.000
Lu: 0.000 0.671 0.000
Lu: 0.000 0.838 0.500
Lu: 0.500 0.171 0.000
Lu: 0.500 0.338 0.500
Lu: 0.500 0.500 0.000
Lu: 0.500 0.662 0.500
Lu: 0.500 0.829 0.000
Sb: 0.000 0.500 0.500
Sb: 0.500 0.000 0.500

***

(12)
The following is a PBE calculation of Pr2Ho7Er2 after structural relaxation, from Alexandria via LeMat-Bulk.

- Calculated volume: 358.5 Å³/f.u.
- ρ: 8.20 g cm⁻³
- Energy above the lowest structure with this stoichiometry: 0.0000 eV/atom
- Energy of formation: 0.15 eV/atom
- DOS at the Fermi energy: 18.18 states/eV/f.u.

Cell: 8.031 8.031 6.079 Å, 106.40 106.40 91.47°
Fractional coordinates of all 11 atoms:
Pr: 0.091 0.091 0.306
Pr: 0.909 0.909 0.694
Ho: 0.088 0.563 0.320
Ho: 0.273 0.273 0.922
Ho: 0.437 0.912 0.680
Ho: 0.500 0.500 0.500
Ho: 0.563 0.088 0.320
Ho: 0.727 0.727 0.078
Ho: 0.912 0.437 0.680
Er: 0.287 0.713 0.000
Er: 0.713 0.287 0.000